Entry 1:
## MgCo2Mo2 (PBE)

Data for a relaxed MgCo2Mo2 crystal.

Lattice parameters (Å, degrees): 5.451 5.451 5.451 133.99 133.99 67.10
Element x y z (fractional)
Mg: 0.000 0.000 0.000
Co: 0.250 0.750 0.500
Co: 0.750 0.250 0.500
Mo: 0.364 0.364 0.000
Mo: 0.636 0.636 0.000

V in Å³ per cell: 82.4
Magnetic moment in μB/atom: 0.0000
Formation enthalpy at 0 K in kJ per mole of atoms: 49.39
ΔE to the lowest computed polymorph in eV/f.u.: 1.95

Entry 2:
## PrZn2PN4 (PBE)

Data for a relaxed PrZn2PN4 crystal.

Lattice parameters (Å, degrees): 5.099 5.099 5.099 118.03 118.03 93.45
Element x y z (fractional)
Pr: 0.000 0.000 0.000
Zn: 0.250 0.750 0.500
Zn: 0.750 0.250 0.500
P: 0.500 0.500 0.000
N: 0.180 0.180 0.629
N: 0.449 0.820 0.000
N: 0.551 0.551 0.371
N: 0.820 0.449 0.000

V in Å³ per cell: 96.4
Formation energy from raw total energies in meV per atom: -660.8
Magnetic moment in μB/atom: 0.0000

Entry 3:
## Ca3Ho2PaN6 (PBE)

Data for a relaxed Ca3Ho2PaN6 crystal.

Lattice parameters (Å, degrees): 6.061 6.061 6.066 99.57 99.57 120.04
Element x y z (fractional)
Ca: 0.000 0.000 0.000
Ca: 0.332 0.668 0.000
Ca: 0.668 0.332 0.000
Ho: 0.167 0.833 0.500
Ho: 0.833 0.167 0.500
Pa: 0.500 0.500 0.500
N: 0.106 0.426 0.278
N: 0.254 0.254 0.720
N: 0.426 0.106 0.278
N: 0.574 0.894 0.722
N: 0.746 0.746 0.280
N: 0.894 0.574 0.722

V in Å³ per cell: 181.9
Formation energy from raw total energies in meV per atom: -1384.8
Magnetic moment in μB/atom: 0.0775

Entry 4:
## RbBi2RuPt (PBE)

Data for a relaxed RbBi2RuPt crystal.

Lattice parameters (Å, degrees): 5.183 5.183 5.648 90.00 90.00 90.00
Element x y z (fractional)
Rb: 0.000 0.000 0.000
Bi: 0.000 0.500 0.500
Bi: 0.500 0.000 0.500
Ru: 0.000 0.000 0.500
Pt: 0.500 0.500 0.000

V in Å³ per cell: 151.7
Magnetic moment in μB/atom: 0.0003
Formation enthalpy at 0 K in kJ per mole of atoms: 73.32

Entry 5:
## DyHo7Mg2 (PBE)

Data for a relaxed DyHo7Mg2 crystal.

Lattice parameters (Å, degrees): 9.250 9.250 5.207 90.00 90.00 123.56
Element x y z (fractional)
Dy: 0.000 0.000 0.000
Ho: 0.069 0.294 0.500
Ho: 0.209 0.791 0.000
Ho: 0.294 0.069 0.500
Ho: 0.500 0.500 0.500
Ho: 0.706 0.931 0.500
Ho: 0.791 0.209 0.000
Ho: 0.931 0.706 0.500
Mg: 0.299 0.701 0.500
Mg: 0.701 0.299 0.500

V in Å³ per cell: 371.3
Magnetic moment in μB/atom: 0.0000
Formation enthalpy at 0 K in kJ per mole of atoms: 56.53

Entry 6:
## Te3IrSe (PBE)

Data for a relaxed Te3IrSe crystal.

Lattice parameters (Å, degrees): 5.225 5.225 5.225 90.00 90.00 90.00
Element x y z (fractional)
Te: 0.000 0.000 0.500
Te: 0.000 0.500 0.000
Te: 0.500 0.000 0.000
Ir: 0.000 0.000 0.000
Se: 0.500 0.500 0.500

V in Å³ per cell: 142.7
Formation energy from raw total energies in meV per atom: 591.4
Magnetic moment in μB/atom: 0.0000
ΔE to the lowest computed polymorph in eV/f.u.: 0.00

Entry 7:
## Ti3AgTe (PBE)

Data for a relaxed Ti3AgTe crystal.

Lattice parameters (Å, degrees): 4.910 4.910 4.910 90.00 90.00 90.00
Element x y z (fractional)
Ti: 0.000 0.000 0.500
Ti: 0.000 0.500 0.000
Ti: 0.500 0.000 0.000
Ag: 0.000 0.000 0.000
Te: 0.500 0.500 0.500

V in Å³ per cell: 118.4
Formation energy from raw total energies in meV per atom: 760.7
Magnetic moment in μB/atom: 0.5550
ΔE to the lowest computed polymorph in eV/f.u.: 0.00

Entry 8:
## CePrBr4 (PBE)

Data for a relaxed CePrBr4 crystal.

Lattice parameters (Å, degrees): 7.168 7.168 7.168 131.14 131.14 71.60
Element x y z (fractional)
Ce: 0.000 0.000 0.000
Pr: 0.750 0.250 0.500
Br: 0.010 0.510 0.500
Br: 0.261 0.261 0.000
Br: 0.490 0.990 0.500
Br: 0.739 0.739 0.000

V in Å³ per cell: 204.4
Formation energy from raw total energies in meV per atom: -1582.2
Magnetic moment in μB/atom: 0.2606
ΔE to the lowest computed polymorph in eV/f.u.: 0.30

Entry 9:
## RbGa2MoPd (PBE)

Data for a relaxed RbGa2MoPd crystal.

Lattice parameters (Å, degrees): 5.108 5.108 4.926 90.00 90.00 90.00
Element x y z (fractional)
Rb: 0.000 0.000 0.000
Ga: 0.000 0.500 0.500
Ga: 0.500 0.000 0.500
Mo: 0.500 0.500 0.500
Pd: 0.500 0.500 0.000

V in Å³ per cell: 128.5
Magnetic moment in μB/atom: 0.0000
Formation enthalpy at 0 K in kJ per mole of atoms: 36.53

Entry 10:
## Zn2TeW (PBE)

Data for a relaxed Zn2TeW crystal.

Lattice parameters (Å, degrees): 3.607 3.607 5.410 90.00 90.00 90.00
Element x y z (fractional)
Zn: 0.000 0.000 0.225
Zn: 0.000 0.000 0.775
Te: 0.500 0.500 0.500
W: 0.500 0.500 0.000

V in Å³ per cell: 70.4
Formation energy from raw total energies in meV per atom: 517.8
Magnetic moment in μB/atom: 0.0000

Entry 11:
## CeScAlCd (PBE)

Data for a relaxed CeScAlCd crystal.

Lattice parameters (Å, degrees): 5.114 5.114 5.114 60.00 60.00 60.00
Element x y z (fractional)
Ce: 0.000 0.000 0.000
Sc: 0.500 0.500 0.500
Al: 0.750 0.750 0.750
Cd: 0.250 0.250 0.250

V in Å³ per cell: 94.6
Magnetic moment in μB/atom: 0.1162
Formation enthalpy at 0 K in kJ per mole of atoms: -24.84
ΔE to the lowest computed polymorph in eV/f.u.: 0.21

Entry 12:
## Tb4Tm5Mg2 (PBE)

Data for a relaxed Tb4Tm5Mg2 crystal.

Lattice parameters (Å, degrees): 3.462 8.076 11.958 89.48 89.98 77.70
Element x y z (fractional)
Tb: 0.057 0.390 0.296
Tb: 0.368 0.765 0.181
Tb: 0.632 0.235 0.819
Tb: 0.943 0.610 0.704
Tm: 0.000 0.500 0.000
Tm: 0.254 0.989 0.628
Tm: 0.317 0.866 0.902
Tm: 0.683 0.134 0.098
Tm: 0.746 0.011 0.372
Mg: 0.413 0.677 0.457
Mg: 0.587 0.323 0.543

V in Å³ per cell: 326.6
Magnetic moment in μB/atom: 0.0001
Formation enthalpy at 0 K in kJ per mole of atoms: 1.47
ΔE to the lowest computed polymorph in eV/f.u.: 0.00

Record-wise theoretical density values, in g/cm3: 6.73, 6.18, 6.99, 8.75, 6.11, 7.61, 5.32, 4.88, 5.52, 10.44, 5.70, 7.77